# 1
Compound: Y5Ho6Er2
Source: the Alexandria database
Functional: PBE-GGA
Structure: optimized geometry

Cell: 3.5694 11.5552 20.1919 Å, 90.00 90.00 90.00°
With the nearest neighbours (Å) after each atom.
Atoms (fractional coordinates):
Y  0.5000  0.9100  0.7735  5 Ho 3.30-3.46, 4 Er 3.48-3.57, 2 Y 3.57
Y  0.5000  0.5900  0.2735  5 Ho 3.30-3.46, 4 Er 3.48-3.57, 2 Y 3.57
Y  0.5000  0.0000  0.5000  6 Ho 3.35-3.40, 4 Y 3.57-3.65
Y  0.5000  0.4100  0.7265  5 Ho 3.30-3.46, 4 Er 3.48-3.57, 2 Y 3.57
Y  0.5000  0.5000  0.0000  6 Ho 3.35-3.40, 4 Y 3.57-3.65
Y  0.5000  0.1972  0.9483  6 Ho 3.50-3.58, 3 Y 3.57-3.65, 2 Er 3.67
Y  0.5000  0.3028  0.4483  6 Ho 3.50-3.58, 3 Y 3.57-3.65, 2 Er 3.67
Y  0.5000  0.6972  0.5517  6 Ho 3.50-3.58, 3 Y 3.57-3.65, 2 Er 3.67
Y  0.5000  0.0900  0.2265  5 Ho 3.30-3.46, 4 Er 3.48-3.57, 2 Y 3.57
Y  0.5000  0.8028  0.0517  6 Ho 3.50-3.58, 3 Y 3.57-3.65, 2 Er 3.67
Ho  0.0000  0.9164  0.6321  1 Er 3.28, 6 Y 3.35-3.50, 4 Ho 3.44-3.57
Ho  0.0000  0.5836  0.1321  1 Er 3.28, 6 Y 3.35-3.50, 4 Ho 3.44-3.57
Ho  0.0000  0.5614  0.4193  6 Y 3.46-3.58, 5 Ho 3.55-3.75, 1 Er 3.71
Ho  0.5000  0.6705  0.8629  2 Y 3.30-3.40, 4 Ho 3.44-3.57, 2 Er 3.57
Ho  0.0000  0.0836  0.3679  1 Er 3.28, 6 Y 3.35-3.50, 4 Ho 3.44-3.57
Ho  0.5000  0.1705  0.6371  2 Y 3.30-3.40, 4 Ho 3.44-3.57, 2 Er 3.57
Ho  0.0000  0.4164  0.8679  1 Er 3.28, 6 Y 3.35-3.50, 4 Ho 3.44-3.57
Ho  0.0000  0.4386  0.5807  6 Y 3.46-3.58, 5 Ho 3.55-3.75, 1 Er 3.71
Ho  0.0000  0.0614  0.0807  6 Y 3.46-3.58, 5 Ho 3.55-3.75, 1 Er 3.71
Ho  0.0000  0.9386  0.9193  6 Y 3.46-3.58, 5 Ho 3.55-3.75, 1 Er 3.71
Ho  0.5000  0.3295  0.1371  2 Y 3.30-3.40, 4 Ho 3.44-3.57, 2 Er 3.57
Ho  0.5000  0.8295  0.3629  2 Y 3.30-3.40, 4 Ho 3.44-3.57, 2 Er 3.57
Er  0.0000  0.8334  0.2097  3 Ho 3.28-3.57, 6 Y 3.48-3.67, 2 Er 3.57
Er  0.0000  0.3334  0.2903  3 Ho 3.28-3.57, 6 Y 3.48-3.67, 2 Er 3.57
Er  0.0000  0.1666  0.7903  3 Ho 3.28-3.57, 6 Y 3.48-3.67, 2 Er 3.57
Er  0.0000  0.6666  0.7097  3 Ho 3.28-3.57, 6 Y 3.48-3.67, 2 Er 3.57

Computed properties:
As for the energy: -5.199 eV per atom. The value obtained for the density of states at the Fermi level is 32.50 states/eV per cell.



# 2
Compound: Y2Ho7Er3
Source: the Alexandria database
Functional: PBE-GGA
Structure: optimized geometry

Cell: 3.4917 6.2803 17.7372 Å, 75.62 90.00 90.00°
With the nearest neighbours (Å) after each atom.
Atoms (fractional coordinates):
Ho  0.5000  0.7572  0.4986  2 Ho 3.06-3.22, 2 Y 3.37-3.39
Ho  0.0000  0.5601  0.1646  2 Y 3.45, 7 Ho 3.49-3.59, 3 Er 3.50-3.69
Ho  0.5000  0.2428  0.5014  2 Ho 3.06-3.22, 2 Y 3.37-3.39
Ho  0.5000  0.0577  0.1678  1 Y 3.45, 8 Ho 3.49-3.59, 3 Er 3.53-3.64
Ho  0.0000  0.0000  0.0000  8 Ho 3.49-3.55, 4 Er 3.59
Ho  0.0000  0.4399  0.8354  2 Y 3.45, 7 Ho 3.49-3.59, 3 Er 3.50-3.69
Ho  0.5000  0.9423  0.8322  1 Y 3.45, 8 Ho 3.49-3.59, 3 Er 3.53-3.64
Er  0.0000  0.1056  0.3428  2 Er 3.49, 7 Ho 3.53-3.69, 4 Y 3.58-3.63
Er  0.0000  0.8944  0.6572  2 Er 3.49, 7 Ho 3.53-3.69, 4 Y 3.58-3.63
Er  0.5000  0.5000  0.0000  2 Er 3.49, 10 Ho 3.50-3.59
Y  0.5000  0.3883  0.6731  5 Ho 3.37-3.45, 2 Y 3.49, 4 Er 3.58-3.63
Y  0.5000  0.6117  0.3269  5 Ho 3.37-3.45, 2 Y 3.49, 4 Er 3.58-3.63

Computed properties:
The calculation puts the relative energy among the computed polymorphs at 0.000 eV/atom. As for the energy: -4.808 eV per atom. The value obtained for the density of states at the Fermi level is 17.89 states/eV per cell.



# 3
Compound: YHo12Er7
Source: the Alexandria database
Functional: PBE-GGA
Structure: optimized geometry

Cell: 8.6183 8.6183 8.6183 Å, 95.04 95.04 95.04°
With the nearest neighbours (Å) after each atom.
Atoms (fractional coordinates):
Ho  0.8140  0.2500  0.6863  3 Ho 3.32-3.54, 3 Er 3.32-3.54
Ho  0.5836  0.5210  0.8521  2 Er 3.04-3.05, 2 Ho 3.07-3.32
Ho  0.4790  0.1479  0.4164  2 Er 3.04-3.05, 2 Ho 3.07-3.32
Ho  0.3137  0.1860  0.7500  3 Ho 3.32-3.54, 3 Er 3.32-3.54
Ho  0.7500  0.3137  0.1860  3 Ho 3.32-3.54, 3 Er 3.32-3.54
Ho  0.2500  0.6863  0.8140  3 Ho 3.32-3.54, 3 Er 3.32-3.54
Ho  0.1479  0.4164  0.4790  2 Er 3.04-3.05, 2 Ho 3.07-3.32
Ho  0.4164  0.4790  0.1479  2 Er 3.04-3.05, 2 Ho 3.07-3.32
Ho  0.1860  0.7500  0.3137  3 Ho 3.32-3.54, 3 Er 3.32-3.54
Ho  0.5210  0.8521  0.5836  2 Er 3.04-3.05, 2 Ho 3.07-3.32
Ho  0.6863  0.8140  0.2500  3 Ho 3.32-3.54, 3 Er 3.32-3.54
Ho  0.8521  0.5836  0.5210  2 Er 3.04-3.05, 2 Ho 3.07-3.32
Er  0.0208  0.0838  0.3529  2 Ho 3.05-3.32, 1 Y 3.05, 1 Er 3.06
Er  0.5000  0.5000  0.5000  6 Ho 3.04
Er  0.9162  0.6471  0.9792  2 Ho 3.05-3.32, 1 Y 3.05, 1 Er 3.06
Er  0.3529  0.0208  0.0838  2 Ho 3.05-3.32, 1 Y 3.05, 1 Er 3.06
Er  0.9792  0.9162  0.6471  2 Ho 3.05-3.32, 1 Y 3.05, 1 Er 3.06
Er  0.6471  0.9792  0.9162  2 Ho 3.05-3.32, 1 Y 3.05, 1 Er 3.06
Er  0.0838  0.3529  0.0208  2 Ho 3.05-3.32, 1 Y 3.05, 1 Er 3.06
Y  0.0000  0.0000  0.0000  6 Er 3.05

Computed properties:
The calculation puts the relative energy among the computed polymorphs at 0.000 eV/atom. As for the energy: -4.358 eV per atom. The value obtained for the density of states at the Fermi level is 18.21 states/eV per cell.



# 4
Compound: Y6Ho4Er
Source: the Alexandria database
Functional: PBE-GGA
Structure: optimized geometry

Cell: 5.6699 5.5972 25.6543 Å, 90.00 90.00 120.43°
With the nearest neighbours (Å) after each atom.
Atoms (fractional coordinates):
Y  0.1516  0.3032  0.1815  7 Y 3.51-3.82, 4 Ho 3.54-3.62, 3 Er 3.65-3.71
Y  0.5135  0.0270  0.7500  3 Er 3.23-3.26, 2 Ho 3.30
Y  0.1817  0.3633  0.8958  5 Ho 3.27-3.59
Y  0.8484  0.6968  0.8185  7 Y 3.51-3.82, 4 Ho 3.54-3.62, 3 Er 3.65-3.71
Y  0.8183  0.6367  0.3958  5 Ho 3.27-3.59
Y  0.8484  0.6968  0.6815  7 Y 3.51-3.82, 4 Ho 3.54-3.62, 3 Er 3.65-3.71
Y  0.1516  0.3032  0.3185  7 Y 3.51-3.82, 4 Ho 3.54-3.62, 3 Er 3.65-3.71
Y  0.1817  0.3633  0.6042  5 Ho 3.27-3.59
Y  0.8183  0.6367  0.1042  5 Ho 3.27-3.59
Y  0.5000  0.0000  0.0000  8 Ho 3.11-3.45
Y  0.5000  0.0000  0.5000  8 Ho 3.11-3.45
Y  0.4865  0.9730  0.2500  3 Er 3.23-3.26, 2 Ho 3.30
Ho  0.4814  0.9628  0.1212  5 Y 3.11-3.30
Ho  0.1609  0.3218  0.0423  8 Y 3.41-3.76, 2 Ho 3.70-3.79
Ho  0.8391  0.6782  0.5423  8 Y 3.41-3.76, 2 Ho 3.70-3.79
Ho  0.1609  0.3218  0.4577  8 Y 3.41-3.76, 2 Ho 3.70-3.79
Ho  0.5186  0.0372  0.8788  5 Y 3.11-3.30
Ho  0.4814  0.9628  0.3788  5 Y 3.11-3.30
Ho  0.8391  0.6782  0.9577  8 Y 3.41-3.76, 2 Ho 3.70-3.79
Ho  0.5186  0.0372  0.6212  5 Y 3.11-3.30
Er  0.8207  0.6414  0.2500  3 Y 3.23-3.26
Er  0.1793  0.3586  0.7500  3 Y 3.23-3.26

Computed properties:
The calculation puts the relative energy among the computed polymorphs at 0.000 eV/atom. As for the energy: -5.479 eV per atom. The value obtained for the density of states at the Fermi level is 40.65 states/eV per cell.



> What is the formula in the first record?

Y5Ho6Er2